Entry 1:
Ca5Ac4 | PBE | optimized geometry

```
9
Lattice="-5.863 5.863 2.837 5.863 -5.863 2.837 5.863 5.863 -2.837" Properties=species:S:1:pos:R:3 pbc="T T T"
Ca 0.000 0.000 0.000
Ca 3.917 3.917 0.000
Ca 1.947 -1.947 2.837
Ca -1.947 1.947 2.837
Ca 1.947 1.947 2.837
Ac 3.972 0.000 0.000
Ac 7.755 0.000 0.000
Ac 0.000 3.972 0.000
Ac 0.000 7.755 0.000
```

## Properties
- calculated volume (Å³/cell) = 390.15
- raw total energy (eV/atom) = -2.909

***

Entry 2:
RbPrZnSe3 | PBE | optimized geometry

```
12
Lattice="9.571 0.000 0.000 0.000 4.283 0.000 -3.040 0.000 9.647" Properties=species:S:1:pos:R:3 pbc="T T T"
Rb 1.234 1.071 2.257
Rb 5.297 3.212 7.390
Pr 0.565 3.212 8.250
Pr 5.966 1.071 1.397
Zn -1.061 1.071 5.861
Zn 7.593 3.212 3.786
Se -1.541 1.071 8.254
Se 0.186 3.212 5.127
Se 3.913 3.212 1.536
Se 2.618 1.071 8.111
Se 6.345 1.071 4.520
Se 8.072 3.212 1.393
```

## Properties
- calculated volume (Å³/cell) = 395.45
- raw formation energy (eV/atom) = -1.37

***

Entry 3:
Tl2Zn4Rh | PBE | optimized geometry

```
7
Lattice="-2.426 2.426 7.140 2.426 -2.426 7.140 2.426 2.426 -7.140" Properties=species:S:1:pos:R:3 pbc="T T T"
Tl 0.000 0.000 1.912
Tl 0.000 0.000 12.368
Zn 2.426 0.000 0.000
Zn 0.000 0.000 4.711
Zn 0.000 2.426 0.000
Zn 0.000 0.000 9.570
Rh 0.000 0.000 7.140
```

## Properties
- calculated volume (Å³/cell) = 168.07
- raw total energy (eV/atom) = -2.302

***

Entry 4:
CaMnPd2 | PBE | optimized geometry

```
4
Lattice="2.231 1.288 4.696 -2.231 1.288 4.696 0.000 -2.576 4.696" Properties=species:S:1:pos:R:3 pbc="T T T"
Ca 0.000 0.000 0.000
Mn 0.000 0.000 7.044
Pd 0.000 0.000 2.966
Pd 0.000 0.000 11.123
```

## Properties
- calculated volume (Å³/cell) = 80.94
- raw total energy (eV/atom) = -5.748

***

Entry 5:
MnV2Ir | PBE | optimized geometry

```
8
Lattice="-1.802 1.802 9.010 1.802 -1.802 9.010 1.802 1.802 -9.010" Properties=species:S:1:pos:R:3 pbc="T T T"
Mn 0.000 0.000 0.000
Mn 0.000 1.802 4.505
V 2.703 0.877 -2.253
V 0.877 0.901 2.253
V -0.901 0.925 6.758
V 0.925 0.901 11.263
Ir 1.802 0.000 4.505
Ir 0.000 0.000 9.010
```

## Properties
- calculated volume (Å³/cell) = 117.03
- raw total energy (eV/atom) = -8.728

***

Entry 6:
TlHgPd2W | PBE | optimized geometry

```
5
Lattice="4.926 0.000 0.000 0.000 4.926 0.000 0.000 0.000 5.172" Properties=species:S:1:pos:R:3 pbc="T T T"
Tl 0.000 0.000 0.000
Hg 0.000 0.000 2.586
Pd 0.000 2.463 2.586
Pd 2.463 0.000 2.586
W 2.463 2.463 0.000
```

## Properties
- calculated volume (Å³/cell) = 125.49
- raw total energy (eV/atom) = -3.276

***

Entry 7:
SrMo2Br | PBE | optimized geometry

```
4
Lattice="3.393 0.000 0.000 0.000 6.326 0.000 -0.087 0.000 4.867" Properties=species:S:1:pos:R:3 pbc="T T T"
Sr 0.000 0.000 0.000
Mo 0.891 3.163 0.826
Mo 2.414 3.163 4.041
Br 1.653 0.000 2.434
```

## Properties
- calculated volume (Å³/cell) = 104.47
- raw formation energy (eV/atom) = 0.43

***

Entry 8:
LaErC4 | PBE | optimized geometry

```
6
Lattice="3.795 -1.876 0.000 3.795 1.876 0.000 -3.387 0.000 6.395" Properties=species:S:1:pos:R:3 pbc="T T T"
La 0.000 0.000 0.000
Er 2.102 0.000 3.198
C -1.195 0.000 4.954
C -0.048 0.000 4.341
C 4.251 0.000 2.055
C 5.399 0.000 1.442
```

## Properties
- calculated volume (Å³/cell) = 91.07
- raw total energy (eV/atom) = -7.902

***

Look up the calculated volume of the first one. 390.15 Å³/cell